Entry 1:
A relaxed structure of Ca3RePd, computed with PBE.

Cell lengths 5.400, 5.400, 5.400 Å; angles 90.00, 90.00, 90.00 degrees
Last column: magnetic moment on the atom in μB.
Positions (direct):
Re 0.500 0.500 0.500  3.04
Ca 0.000 0.500 0.000  -0.01
Ca 0.000 0.000 0.500  -0.01
Ca 0.500 0.000 0.000  -0.03
Pd 0.000 0.000 0.000  0.04

DOS(E_F), states/eV per cell: 5.8
Energy relative to the lowest polymorph listed for this composition, meV/atom: 0
Crystal system: cubic
DFT formation energy, eV/f.u.: 3.68

---

Entry 2:
A relaxed structure of CaRePd2, computed with PBE.

Cell lengths 4.651, 4.651, 9.018 Å; angles 75.06, 75.06, 90.00 degrees
Positions (direct):
Re 0.000 0.000 0.000
Re 0.750 0.250 0.500
Ca 0.500 0.500 0.000
Ca 0.250 0.750 0.500
Pd 0.724 0.125 0.250
Pd 0.026 0.625 0.250
Pd 0.375 0.276 0.750
Pd 0.875 0.974 0.750

DOS(E_F), states/eV per cell: 8.5
Energy relative to the lowest polymorph listed for this composition, meV/atom: 372
Crystal system: tetragonal
DFT formation energy, eV/f.u.: 2.65

---

Entry 3:
A relaxed structure of CaRePd3, computed with PBE.

Cell lengths 4.868, 4.868, 4.868 Å; angles 90.00, 90.00, 90.00 degrees
Positions (direct):
Re 0.000 0.000 0.000
Ca 0.500 0.500 0.500
Pd 0.000 0.500 0.000
Pd 0.000 0.000 0.500
Pd 0.500 0.000 0.000

DOS(E_F), states/eV per cell: 4.8
Energy relative to the lowest polymorph listed for this composition, meV/atom: 0
Crystal system: cubic
DFT formation energy, eV/f.u.: 2.50